(1)
Computed, not measured: an optimized crystal structure of Mg2SiBPt at the GGA-PBE level of DFT.

Properties
Calculated total energy in eV/cell: -21.2
Formation energy from raw total energies in eV/atom: 0.02
Magnetic moment in μB/f.u.: 0.0
Fermi-level density of states in states/eV/atom: 0.32

```
Mg2SiBPt
1.0
4.5280 0.0000 0.0000
0.0000 4.5280 0.0000
0.0000 0.0000 4.0385
Mg Si B Pt
2 1 1 1
direct
0.0000 0.5000 0.0000
0.5000 0.0000 0.0000
0.0000 0.0000 0.5000
0.5000 0.5000 0.0000
0.5000 0.5000 0.5000
```

(2)
Computed, not measured: an optimized crystal structure of Mg3SiB2Pt9 at the GGA-PBE level of DFT.

Properties
Calculated total energy in eV/cell: -86.1
Formation energy from raw total energies in eV/atom: -0.54
Magnetic moment in μB/f.u.: 0.0
Fermi-level density of states in states/eV/atom: 0.37

```
Mg3SiB2Pt9
1.0
5.6022 0.0000 0.0000
-2.8011 4.8517 0.0000
0.0000 0.0000 8.9540
Mg Si B Pt
3 1 2 9
direct
0.0000 0.0000 0.0000
0.3333 0.6667 0.5897
0.6667 0.3333 0.4103
0.0000 0.0000 0.5000
0.3333 0.6667 0.1535
0.6667 0.3333 0.8465
0.0000 0.5000 0.0000
0.1626 0.3253 0.2958
0.1626 0.8374 0.2958
0.3253 0.1626 0.7042
0.5000 0.0000 0.0000
0.5000 0.5000 0.0000
0.6747 0.8374 0.2958
0.8374 0.1626 0.7042
0.8374 0.6747 0.7042
```

(3)
Computed, not measured: an optimized crystal structure of Sm2MgBPt6 at the GGA-PBE level of DFT.

Properties
Calculated total energy in eV/cell: -124.9
Magnetic moment in μB/f.u.: 0.0
Fermi-level density of states in states/eV/atom: 0.30
Energy of formation from the pure elements in eV/f.u.: -8.5

```
Sm2MgBPt6
1.0
5.7053 0.0000 0.0000
0.0000 8.7184 0.0000
0.0000 0.0000 7.5468
Sm Mg B Pt
4 2 2 12
direct
0.2500 0.0307 0.2161
0.2500 0.4693 0.2161
0.7500 0.5307 0.7839
0.7500 0.9693 0.7839
0.2500 0.7500 0.8234
0.7500 0.2500 0.1766
0.2500 0.2500 0.6865
0.7500 0.7500 0.3135
0.0050 0.2500 0.8965
0.0115 0.7500 0.5145
0.2500 0.0062 0.6287
0.2500 0.4938 0.6287
0.4885 0.7500 0.5145
0.4950 0.2500 0.8965
0.5050 0.7500 0.1035
0.5115 0.2500 0.4855
0.7500 0.5062 0.3713
0.7500 0.9938 0.3713
0.9885 0.2500 0.4855
0.9950 0.7500 0.1035
```